PaPd8Au2: relaxed, GGA-PBE.

Cell: 5.392 7.329 7.329 Å, 43.23 76.02 76.02°
Atoms (fractional coordinates):
Pd 0.692 0.164 0.658
Pd 0.783 0.582 0.582
Pd 0.963 0.746 0.746
Pd 0.217 0.418 0.418
Pa 0.000 0.000 0.000
Au 0.420 0.788 0.788
Pd 0.308 0.836 0.342
Pd 0.692 0.658 0.164
Pd 0.308 0.342 0.836
Pd 0.037 0.254 0.254
Au 0.580 0.212 0.212

Results
- M_tot (μB per formula unit) = 0.000
- E (eV/atom) = -5.5173
- DFT formation energy (eV/atom) = -0.282
- D(E_F) (states/eV/f.u.) = 6.3

=====

Ta2AgPt: relaxed, GGA-PBE.

Cell: 4.955 4.955 5.131 Å, 79.45 79.45 33.96°
Atoms (fractional coordinates):
Pt 0.257 0.257 0.239
Ta 0.741 0.741 0.742
Ta 0.002 0.002 0.014
Ag 0.500 0.500 0.505

Results
- M_tot (μB per formula unit) = 0.000
- E (eV/atom) = -8.2416
- DFT formation energy (eV/atom) = -0.092
- D(E_F) (states/eV/f.u.) = 2.3